## TlNiAgHg (PBE)

Data for crystalline TlNiAgHg at its relaxed geometry.

Properties
Mass density: 12290 kg/m3
Symmetry: No. 216
Electronic total energy: -2.41 eV per atom

Lattice parameters (Å, degrees): 4.780 4.780 4.780 60.00 60.00 60.00
Fractional coordinates of all 4 atoms:
Tl  0.000  0.000  0.000
Hg  0.250  0.250  0.250
Ag  0.500  0.500  0.500
Ni  0.750  0.750  0.750

=====

## ZnNiAgHg (PBE)

Data for crystalline ZnNiAgHg at its relaxed geometry.

Properties
Calculated formation energy: 167 meV per atom
Mass density: 11067 kg/m3
Symmetry: No. 216

Lattice parameters (Å, degrees): 4.511 4.511 4.511 60.00 60.00 60.00
Fractional coordinates of all 4 atoms:
Ni  0.750  0.750  0.750
Zn  0.000  0.000  0.000
Ag  0.500  0.500  0.500
Hg  0.250  0.250  0.250

=====

## Ag2HgO2 (PBE)

Data for crystalline Ag2HgO2 at its relaxed geometry.

Properties
Mass density: 9160 kg/m3
Symmetry: No. 96
Electronic total energy: -3.35 eV per atom

Lattice parameters (Å, degrees): 6.182 6.182 8.506 90.00 90.00 90.00
Fractional coordinates of all 20 atoms:
O  0.114  0.253  0.734
Ag  0.256  0.502  0.872
Ag  0.998  0.756  0.622
O  0.886  0.747  0.234
Ag  0.002  0.244  0.122
O  0.386  0.753  0.016
Ag  0.744  0.498  0.372
O  0.247  0.614  0.484
Ag  0.244  0.002  0.878
Hg  0.209  0.209  0.500
Ag  0.502  0.256  0.128
O  0.614  0.247  0.516
Hg  0.791  0.791  0.000
Hg  0.709  0.291  0.750
O  0.747  0.886  0.766
O  0.253  0.114  0.266
Ag  0.756  0.998  0.378
Hg  0.291  0.709  0.250
Ag  0.498  0.744  0.628
O  0.753  0.386  0.984

=====

## AgHgO2 (PBE)

Data for crystalline AgHgO2 at its relaxed geometry.

Properties
Mass density: 8981 kg/m3
Symmetry: No. 2
Electronic total energy: -3.42 eV per atom

Lattice parameters (Å, degrees): 3.912 5.468 5.904 92.37 93.82 90.50
Fractional coordinates of all 8 atoms:
O  0.342  0.212  0.710
O  0.658  0.788  0.290
Hg  0.000  0.000  0.500
Ag  0.500  0.000  0.000
O  0.703  0.717  0.787
Ag  0.500  0.500  0.500
Hg  0.000  0.500  0.000
O  0.297  0.283  0.213

=====

## AgHg2O4 (PBE)

Data for crystalline AgHg2O4 at its relaxed geometry.

Properties
Mass density: 9062 kg/m3
Symmetry: No. 227
Electronic total energy: -3.18 eV per atom

Lattice parameters (Å, degrees): 6.673 6.673 6.673 120.04 89.93 120.04
Fractional coordinates of all 14 atoms:
O  0.607  0.738  0.869
Ag  0.750  0.500  0.250
Hg  0.375  0.250  0.625
Ag  0.000  0.000  0.000
O  0.619  0.238  0.381
O  0.131  0.262  0.393
O  0.143  0.762  0.381
Hg  0.375  0.750  0.625
Hg  0.375  0.750  0.125
O  0.131  0.262  0.869
O  0.131  0.738  0.869
O  0.619  0.762  0.381
Hg  0.875  0.250  0.625
O  0.619  0.238  0.857

=====

## AgHg2PO4 (PBE)

Data for crystalline AgHg2PO4 at its relaxed geometry.

Properties
Mass density: 8019 kg/m3
Symmetry: No. 55
Electronic total energy: -4.74 eV per atom

Lattice parameters (Å, degrees): 9.299 8.611 6.248 90.00 90.00 90.00
Fractional coordinates of all 32 atoms:
Hg  0.028  0.254  0.787
Hg  0.972  0.746  0.787
O  0.871  0.611  0.500
O  0.197  0.053  0.709
Ag  0.348  0.027  0.000
P  0.217  0.958  0.500
O  0.101  0.826  0.500
O  0.601  0.674  0.500
O  0.303  0.553  0.291
O  0.803  0.947  0.291
O  0.371  0.889  0.500
O  0.303  0.553  0.709
Ag  0.652  0.973  0.000
P  0.717  0.542  0.500
Ag  0.848  0.473  0.000
O  0.399  0.326  0.500
Hg  0.972  0.746  0.213
O  0.803  0.947  0.709
Hg  0.528  0.246  0.787
O  0.899  0.174  0.500
P  0.283  0.458  0.500
O  0.697  0.447  0.709
O  0.697  0.447  0.291
P  0.783  0.042  0.500
Ag  0.152  0.527  0.000
O  0.129  0.389  0.500
O  0.629  0.111  0.500
Hg  0.472  0.754  0.213
Hg  0.528  0.246  0.213
Hg  0.028  0.254  0.213
Hg  0.472  0.754  0.787
O  0.197  0.053  0.291

=====

## AgHgPO (PBE)

Data for crystalline AgHgPO at its relaxed geometry.

Properties
Mass density: 7600 kg/m3
Symmetry: No. 26
Electronic total energy: -3.16 eV per atom

Lattice parameters (Å, degrees): 3.298 7.131 6.604 90.00 90.00 90.00
Fractional coordinates of all 8 atoms:
Hg  0.500  0.829  0.986
P  0.500  0.838  0.371
O  0.000  0.635  0.865
O  0.000  0.365  0.365
Hg  0.500  0.171  0.486
P  0.500  0.162  0.871
Ag  0.000  0.637  0.532
Ag  0.000  0.363  0.032

=====

## AgHgPO (PBE)

Data for crystalline AgHgPO at its relaxed geometry.

Properties
Mass density: 8033 kg/m3
Symmetry: No. 26
Electronic total energy: -3.21 eV per atom

Lattice parameters (Å, degrees): 3.887 7.424 5.092 90.00 90.00 90.00
Fractional coordinates of all 8 atoms:
O  0.500  0.389  0.442
Hg  0.500  0.681  0.444
P  0.000  0.913  0.430
O  0.500  0.611  0.942
P  0.000  0.087  0.930
Hg  0.500  0.319  0.944
Ag  0.000  0.766  0.938
Ag  0.000  0.234  0.438

=====

## AgHgPO (PBE)

Data for crystalline AgHgPO at its relaxed geometry.

Properties
Mass density: 7002 kg/m3
Symmetry: No. 129
Electronic total energy: -3.01 eV per atom

Lattice parameters (Å, degrees): 4.340 4.340 8.951 90.00 90.00 90.00
Fractional coordinates of all 8 atoms:
O  0.500  0.500  0.000
Hg  0.000  0.000  0.500
P  0.000  0.500  0.329
Ag  0.000  0.500  0.053
Ag  0.500  0.000  0.947
O  0.000  0.000  0.000
P  0.500  0.000  0.671
Hg  0.500  0.500  0.500

=====

## AgHgPO (PBE)

Data for crystalline AgHgPO at its relaxed geometry.

Properties
Mass density: 7782 kg/m3
Symmetry: No. 129
Electronic total energy: -3.03 eV per atom

Lattice parameters (Å, degrees): 4.389 4.389 7.876 90.00 90.00 90.00
Fractional coordinates of all 8 atoms:
Ag  0.250  0.750  0.500
P  0.750  0.750  0.348
Hg  0.750  0.750  0.920
P  0.250  0.250  0.652
O  0.250  0.750  0.000
Ag  0.750  0.250  0.500
O  0.750  0.250  0.000
Hg  0.250  0.250  0.080

=====

## AgHgPO (PBE)

Data for crystalline AgHgPO at its relaxed geometry.

Properties
Mass density: 7574 kg/m3
Symmetry: No. 129
Electronic total energy: -3.04 eV per atom

Lattice parameters (Å, degrees): 4.421 4.421 7.972 90.00 90.00 90.00
Fractional coordinates of all 8 atoms:
Hg  0.000  0.500  0.076
O  0.000  0.000  0.000
Ag  0.500  0.500  0.500
P  0.000  0.500  0.646
O  0.500  0.500  0.000
P  0.500  0.000  0.354
Ag  0.000  0.000  0.500
Hg  0.500  0.000  0.924

=====

## Pr2Ag3Hg3O12 (PBE)

Data for crystalline Pr2Ag3Hg3O12 at its relaxed geometry.

Properties
Mass density: 7830 kg/m3
Symmetry: No. 230
Electronic total energy: -4.37 eV per atom

Lattice parameters (Å, degrees): 11.553 11.553 11.553 109.47 109.47 109.47
Fractional coordinates of all 80 atoms:
Pr  0.500  0.000  0.500
Hg  0.750  0.375  0.125
Ag  0.125  0.875  0.750
O  0.553  0.680  0.439
O  0.947  0.561  0.320
O  0.758  0.385  0.939
Hg  0.750  0.875  0.625
O  0.873  0.758  0.320
O  0.820  0.258  0.373
Ag  0.625  0.750  0.875
O  0.061  0.742  0.115
O  0.553  0.373  0.115
Ag  0.375  0.625  0.250
Hg  0.625  0.875  0.250
O  0.115  0.561  0.242
Hg  0.125  0.375  0.250
O  0.258  0.939  0.385
O  0.320  0.373  0.258
Hg  0.875  0.750  0.125
O  0.447  0.320  0.561
Pr  0.000  0.000  0.500
Pr  0.500  0.500  0.500
O  0.242  0.615  0.061
Pr  0.000  0.500  0.000
O  0.742  0.180  0.127
O  0.439  0.053  0.180
O  0.627  0.680  0.242
O  0.385  0.758  0.439
O  0.053  0.115  0.373
O  0.127  0.242  0.680
Pr  0.000  0.500  0.500
O  0.680  0.627  0.742
O  0.820  0.061  0.447
Pr  0.000  0.000  0.000
O  0.258  0.820  0.873
Hg  0.250  0.125  0.375
O  0.242  0.127  0.180
O  0.180  0.939  0.553
O  0.615  0.873  0.053
O  0.947  0.885  0.627
O  0.373  0.320  0.758
Ag  0.125  0.750  0.375
Ag  0.750  0.625  0.375
O  0.053  0.439  0.680
O  0.561  0.947  0.820
Hg  0.375  0.750  0.625
O  0.385  0.127  0.947
Ag  0.875  0.125  0.250
O  0.115  0.053  0.873
O  0.939  0.258  0.885
O  0.742  0.061  0.615
Hg  0.625  0.250  0.375
O  0.939  0.180  0.053
O  0.758  0.873  0.820
Hg  0.375  0.125  0.750
Ag  0.375  0.250  0.125
Ag  0.625  0.375  0.750
Pr  0.500  0.000  0.000
O  0.627  0.447  0.385
O  0.373  0.553  0.615
Ag  0.250  0.875  0.125
O  0.561  0.115  0.742
Hg  0.125  0.250  0.875
Ag  0.750  0.125  0.875
O  0.439  0.885  0.258
Ag  0.875  0.250  0.625
O  0.885  0.439  0.758
O  0.447  0.627  0.885
O  0.180  0.742  0.627
Pr  0.500  0.500  0.000
O  0.127  0.385  0.447
Hg  0.250  0.625  0.875
O  0.320  0.447  0.061
O  0.061  0.820  0.947
O  0.873  0.615  0.553
O  0.680  0.553  0.939
Ag  0.250  0.375  0.625
Hg  0.875  0.625  0.750
O  0.885  0.947  0.127
O  0.615  0.242  0.561

=====

## AgHgSO (PBE)

Data for crystalline AgHgSO at its relaxed geometry.

Properties
Mass density: 8123 kg/m3
Symmetry: No. 129
Electronic total energy: -3.07 eV per atom

Lattice parameters (Å, degrees): 3.989 3.989 9.158 90.00 90.00 90.00
Fractional coordinates of all 8 atoms:
S  0.250  0.250  0.319
O  0.750  0.750  0.516
Hg  0.750  0.250  0.000
O  0.250  0.250  0.484
Ag  0.750  0.750  0.256
Ag  0.250  0.250  0.744
Hg  0.250  0.750  0.000
S  0.750  0.750  0.681

=====

## AgHgSO (PBE)

Data for crystalline AgHgSO at its relaxed geometry.

Properties
Mass density: 7598 kg/m3
Symmetry: No. 129
Electronic total energy: -2.92 eV per atom

Lattice parameters (Å, degrees): 4.047 4.047 9.514 90.00 90.00 90.00
Fractional coordinates of all 8 atoms:
Hg  0.250  0.250  0.869
Ag  0.250  0.250  0.426
O  0.250  0.750  0.500
Hg  0.750  0.750  0.131
O  0.750  0.250  0.500
S  0.250  0.250  0.152
Ag  0.750  0.750  0.574
S  0.750  0.750  0.848

=====

## AgHgSO (PBE)

Data for crystalline AgHgSO at its relaxed geometry.

Properties
Mass density: 8783 kg/m3
Symmetry: No. 63
Electronic total energy: -2.87 eV per atom

Lattice parameters (Å, degrees): 3.402 5.894 6.936 90.00 75.80 90.00
Fractional coordinates of all 8 atoms:
O  0.000  0.500  0.000
Ag  0.573  0.250  0.854
Hg  0.138  0.750  0.724
O  0.000  0.000  0.000
S  0.791  0.750  0.417
S  0.209  0.250  0.583
Ag  0.427  0.750  0.146
Hg  0.862  0.250  0.276

=====

## AgHgSO (PBE)

Data for crystalline AgHgSO at its relaxed geometry.

Properties
Mass density: 8890 kg/m3
Symmetry: No. 63
Electronic total energy: -2.88 eV per atom

Lattice parameters (Å, degrees): 3.521 5.556 7.032 90.00 75.50 90.00
Fractional coordinates of all 8 atoms:
S  0.780  0.750  0.440
O  0.000  0.500  0.000
Ag  0.139  0.750  0.721
S  0.220  0.250  0.560
Hg  0.575  0.250  0.850
O  0.000  0.000  0.000
Hg  0.425  0.750  0.150
Ag  0.861  0.250  0.279

=====

## AgHgSO (PBE)

Data for crystalline AgHgSO at its relaxed geometry.

Properties
Mass density: 8309 kg/m3
Symmetry: No. 36
Electronic total energy: -3.04 eV per atom

Lattice parameters (Å, degrees): 6.466 6.466 6.385 90.00 90.00 32.26
Fractional coordinates of all 8 atoms:
Ag  0.000  0.000  0.285
S  0.621  0.621  0.035
S  0.379  0.379  0.535
Hg  0.272  0.272  0.036
Ag  0.000  0.000  0.785
Hg  0.728  0.728  0.536
O  0.117  0.117  0.536
O  0.883  0.883  0.036

=====

## AgHgSO (PBE)

Data for crystalline AgHgSO at its relaxed geometry.

Properties
Mass density: 7258 kg/m3
Symmetry: No. 129
Electronic total energy: -2.68 eV per atom

Lattice parameters (Å, degrees): 4.541 4.541 7.913 90.00 90.00 90.00
Fractional coordinates of all 8 atoms:
O  0.250  0.250  0.099
S  0.250  0.750  0.500
O  0.750  0.750  0.901
Hg  0.250  0.250  0.841
Hg  0.750  0.750  0.159
Ag  0.250  0.250  0.368
Ag  0.750  0.750  0.632
S  0.750  0.250  0.500

=====

## AgHgSO (PBE)

Data for crystalline AgHgSO at its relaxed geometry.

Properties
Mass density: 7738 kg/m3
Symmetry: No. 57
Electronic total energy: -3.06 eV per atom

Lattice parameters (Å, degrees): 6.790 8.736 5.159 90.00 90.00 90.00
Fractional coordinates of all 16 atoms:
Ag  0.942  0.355  0.063
O  0.941  0.882  0.562
Hg  0.401  0.105  0.063
O  0.559  0.882  0.062
Ag  0.442  0.645  0.063
Ag  0.558  0.355  0.563
Hg  0.901  0.895  0.063
S  0.552  0.372  0.063
S  0.052  0.628  0.063
O  0.441  0.118  0.562
S  0.448  0.628  0.563
Ag  0.058  0.645  0.563
O  0.059  0.118  0.062
Hg  0.099  0.105  0.563
Hg  0.599  0.895  0.563
S  0.948  0.372  0.563